(1)
Density functional theory data (PBE-GGA) for an optimized crystal structure of Pr2Dy2Er5.

Summary:
Energy above the most stable polymorph in this dataset ... 12 meV/atom
Energy ... -4.395 eV/atom
Calculated formation energy ... 225 meV/atom
Space group ... C2/m, No. 12
Spin magnetization ... 0.00 Bohr magnetons per cell

Structure (CIF):
```
data_Pr2Dy2Er5
_chemical_formula_sum 'Pr2 Dy2 Er5'
_symmetry_space_group_name_H-M 'P 1'
_symmetry_Int_Tables_number 1
_cell_length_a 10.955
_cell_length_b 10.955
_cell_length_c 8.205
_cell_angle_alpha 99.85
_cell_angle_beta 99.85
_cell_angle_gamma 18.28
loop_
_symmetry_equiv_pos_as_xyz
'x,y,z'
loop_
_atom_site_label
_atom_site_fract_x
_atom_site_fract_y
_atom_site_fract_z
Pr1 0.181 0.181 0.142
Pr2 0.819 0.819 0.858
Dy1 0.453 0.453 0.645
Dy2 0.547 0.547 0.355
Er1 0.000 0.000 0.000
Er2 0.096 0.096 0.731
Er3 0.309 0.309 0.469
Er4 0.691 0.691 0.531
Er5 0.904 0.904 0.269
```

=====

(2)
Density functional theory data (PBE-GGA) for an optimized crystal structure of LuZrBi.

Summary:
Energy ... -5.698 eV/atom
Calculated formation energy ... -48 meV/atom
Space group ... P3m1, No. 156
Spin magnetization ... 1.31 Bohr magnetons per cell

Structure (CIF):
```
data_LuZrBi
_chemical_formula_sum 'Lu1 Zr1 Bi1'
_symmetry_space_group_name_H-M 'P 1'
_symmetry_Int_Tables_number 1
_cell_length_a 5.300
_cell_length_b 5.300
_cell_length_c 3.303
_cell_angle_alpha 90.00
_cell_angle_beta 90.00
_cell_angle_gamma 120.00
loop_
_symmetry_equiv_pos_as_xyz
'x,y,z'
loop_
_atom_site_label
_atom_site_fract_x
_atom_site_fract_y
_atom_site_fract_z
Lu1 0.000 0.000 0.000
Zr1 0.333 0.667 0.485
Bi1 0.667 0.333 0.568
```

=====

(3)
Density functional theory data (PBE-GGA) for an optimized crystal structure of LiH7Ir2.

Summary:
Energy ... -4.362 eV/atom
Space group ... Cmmm, No. 65
Spin magnetization ... 0.00 Bohr magnetons per cell

Structure (CIF):
```
data_LiH7Ir2
_chemical_formula_sum 'Li1 H7 Ir2'
_symmetry_space_group_name_H-M 'P 1'
_symmetry_Int_Tables_number 1
_cell_length_a 4.969
_cell_length_b 4.969
_cell_length_c 3.457
_cell_angle_alpha 90.00
_cell_angle_beta 90.00
_cell_angle_gamma 110.79
loop_
_symmetry_equiv_pos_as_xyz
'x,y,z'
loop_
_atom_site_label
_atom_site_fract_x
_atom_site_fract_y
_atom_site_fract_z
Li1 0.000 0.000 0.000
H1 0.085 0.341 0.500
H2 0.302 0.698 0.000
H3 0.341 0.085 0.500
H4 0.500 0.500 0.500
H5 0.659 0.915 0.500
H6 0.698 0.302 0.000
H7 0.915 0.659 0.500
Ir1 0.285 0.715 0.500
Ir2 0.715 0.285 0.500
```

=====

(4)
Density functional theory data (PBE-GGA) for an optimized crystal structure of TiCuTe2N.

Summary:
Energy above the most stable polymorph in this dataset ... 0 meV/atom
Energy ... -5.094 eV/atom
Formation energy (no corrections) ... 1.13 eV per formula unit
Space group ... P4/mmm, No. 123
Spin magnetization ... 0.00 Bohr magnetons per cell

Structure (CIF):
```
data_TiCuTe2N
_chemical_formula_sum 'Ti1 Cu1 Te2 N1'
_symmetry_space_group_name_H-M 'P 1'
_symmetry_Int_Tables_number 1
_cell_length_a 5.531
_cell_length_b 5.531
_cell_length_c 3.673
_cell_angle_alpha 90.00
_cell_angle_beta 90.00
_cell_angle_gamma 90.00
loop_
_symmetry_equiv_pos_as_xyz
'x,y,z'
loop_
_atom_site_label
_atom_site_fract_x
_atom_site_fract_y
_atom_site_fract_z
Ti1 0.000 0.000 0.000
Cu1 0.500 0.500 0.500
Te1 0.000 0.500 0.000
Te2 0.500 0.000 0.000
N1 0.000 0.000 0.500
```

=====

(5)
Density functional theory data (PBE-GGA) for an optimized crystal structure of NbZnGa.

Summary:
Energy ... -4.991 eV/atom
Calculated formation energy ... -201 meV/atom
Space group ... P4/nmm, No. 129
Spin magnetization ... 0.00 Bohr magnetons per cell

Structure (CIF):
```
data_NbZnGa
_chemical_formula_sum 'Nb2 Zn2 Ga2'
_symmetry_space_group_name_H-M 'P 1'
_symmetry_Int_Tables_number 1
_cell_length_a 3.719
_cell_length_b 3.719
_cell_length_c 6.923
_cell_angle_alpha 90.00
_cell_angle_beta 90.00
_cell_angle_gamma 90.00
loop_
_symmetry_equiv_pos_as_xyz
'x,y,z'
loop_
_atom_site_label
_atom_site_fract_x
_atom_site_fract_y
_atom_site_fract_z
Nb1 0.250 0.250 0.143
Nb2 0.750 0.750 0.857
Zn1 0.250 0.750 0.500
Zn2 0.750 0.250 0.500
Ga1 0.250 0.250 0.763
Ga2 0.750 0.750 0.237
```

=====

(6)
Density functional theory data (PBE-GGA) for an optimized crystal structure of SrAsPbSe2.

Summary:
Energy above the most stable polymorph in this dataset ... 405 meV/atom
Energy ... -3.219 eV/atom
Formation energy (no corrections) ... 0.92 eV per formula unit
Space group ... P4/mmm, No. 123
Spin magnetization ... 0.00 Bohr magnetons per cell

Structure (CIF):
```
data_SrAsPbSe2
_chemical_formula_sum 'Sr1 As1 Pb1 Se2'
_symmetry_space_group_name_H-M 'P 1'
_symmetry_Int_Tables_number 1
_cell_length_a 5.673
_cell_length_b 5.673
_cell_length_c 5.570
_cell_angle_alpha 90.00
_cell_angle_beta 90.00
_cell_angle_gamma 90.00
loop_
_symmetry_equiv_pos_as_xyz
'x,y,z'
loop_
_atom_site_label
_atom_site_fract_x
_atom_site_fract_y
_atom_site_fract_z
Sr1 0.000 0.000 0.000
As1 0.000 0.000 0.500
Pb1 0.500 0.500 0.500
Se1 0.000 0.500 0.000
Se2 0.500 0.000 0.000
```

=====

(7)
Density functional theory data (PBE-GGA) for an optimized crystal structure of TlFeBr2.

Summary:
Energy above the most stable polymorph in this dataset ... 391 meV/atom
Energy ... -3.418 eV/atom
Formation energy (no corrections) ... 0.50 eV per formula unit
Space group ... Fm-3m, No. 225
Spin magnetization ... 3.25 Bohr magnetons per cell

Structure (CIF):
```
data_TlFeBr2
_chemical_formula_sum 'Tl1 Fe1 Br2'
_symmetry_space_group_name_H-M 'P 1'
_symmetry_Int_Tables_number 1
_cell_length_a 5.276
_cell_length_b 5.276
_cell_length_c 5.276
_cell_angle_alpha 60.00
_cell_angle_beta 60.00
_cell_angle_gamma 60.00
loop_
_symmetry_equiv_pos_as_xyz
'x,y,z'
loop_
_atom_site_label
_atom_site_fract_x
_atom_site_fract_y
_atom_site_fract_z
Tl1 0.000 0.000 0.000
Fe1 0.500 0.500 0.500
Br1 0.250 0.250 0.250
Br2 0.750 0.750 0.750
```

=====

(8)
Density functional theory data (PBE-GGA) for an optimized crystal structure of TbPa2Ge.

Summary:
Energy above the most stable polymorph in this dataset ... 0 meV/atom
Energy ... -7.267 eV/atom
Calculated formation energy ... -208 meV/atom
Space group ... P4/mmm, No. 123
Spin magnetization ... 0.00 Bohr magnetons per cell

Structure (CIF):
```
data_TbPa2Ge
_chemical_formula_sum 'Tb1 Pa2 Ge1'
_symmetry_space_group_name_H-M 'P 1'
_symmetry_Int_Tables_number 1
_cell_length_a 4.334
_cell_length_b 4.334
_cell_length_c 5.005
_cell_angle_alpha 90.00
_cell_angle_beta 90.00
_cell_angle_gamma 90.00
loop_
_symmetry_equiv_pos_as_xyz
'x,y,z'
loop_
_atom_site_label
_atom_site_fract_x
_atom_site_fract_y
_atom_site_fract_z
Tb1 0.000 0.000 0.000
Pa1 0.000 0.500 0.500
Pa2 0.500 0.000 0.500
Ge1 0.500 0.500 0.000
```

=====

(9)
Density functional theory data (PBE-GGA) for an optimized crystal structure of LaCd2SiPb.

Summary:
Energy ... -2.552 eV/atom
Formation energy (no corrections) ... 3.13 eV per formula unit
Space group ... P4/mmm, No. 123
Spin magnetization ... 0.00 Bohr magnetons per cell

Structure (CIF):
```
data_LaCd2SiPb
_chemical_formula_sum 'La1 Cd2 Si1 Pb1'
_symmetry_space_group_name_H-M 'P 1'
_symmetry_Int_Tables_number 1
_cell_length_a 5.348
_cell_length_b 5.348
_cell_length_c 6.296
_cell_angle_alpha 90.00
_cell_angle_beta 90.00
_cell_angle_gamma 90.00
loop_
_symmetry_equiv_pos_as_xyz
'x,y,z'
loop_
_atom_site_label
_atom_site_fract_x
_atom_site_fract_y
_atom_site_fract_z
La1 0.000 0.000 0.000
Cd1 0.000 0.500 0.500
Cd2 0.500 0.000 0.500
Si1 0.500 0.500 0.000
Pb1 0.000 0.000 0.500
```

=====

(10)
Density functional theory data (PBE-GGA) for an optimized crystal structure of AlZn9Ga2.

Summary:
Energy ... -1.739 eV/atom
Calculated formation energy ... 33 meV/atom
Space group ... P4/mmm, No. 123
Spin magnetization ... 0.00 Bohr magnetons per cell

Structure (CIF):
```
data_AlZn9Ga2
_chemical_formula_sum 'Al1 Zn9 Ga2'
_symmetry_space_group_name_H-M 'P 1'
_symmetry_Int_Tables_number 1
_cell_length_a 3.983
_cell_length_b 3.983
_cell_length_c 11.916
_cell_angle_alpha 90.00
_cell_angle_beta 90.00
_cell_angle_gamma 90.00
loop_
_symmetry_equiv_pos_as_xyz
'x,y,z'
loop_
_atom_site_label
_atom_site_fract_x
_atom_site_fract_y
_atom_site_fract_z
Al1 0.000 0.000 0.000
Zn1 0.000 0.500 0.164
Zn2 0.000 0.500 0.500
Zn3 0.000 0.500 0.836
Zn4 0.500 0.000 0.164
Zn5 0.500 0.000 0.500
Zn6 0.500 0.000 0.836
Zn7 0.500 0.500 0.000
Zn8 0.500 0.500 0.332
Zn9 0.500 0.500 0.668
Ga1 0.000 0.000 0.332
Ga2 0.000 0.000 0.668
```

=====

(11)
Density functional theory data (PBE-GGA) for an optimized crystal structure of CrTc2AuBr.

Summary:
Energy ... -5.567 eV/atom
Formation energy (no corrections) ... 7.47 eV per formula unit
Space group ... P4/mmm, No. 123
Spin magnetization ... 0.00 Bohr magnetons per cell

Structure (CIF):
```
data_CrTc2AuBr
_chemical_formula_sum 'Cr1 Tc2 Au1 Br1'
_symmetry_space_group_name_H-M 'P 1'
_symmetry_Int_Tables_number 1
_cell_length_a 4.545
_cell_length_b 4.545
_cell_length_c 4.327
_cell_angle_alpha 90.00
_cell_angle_beta 90.00
_cell_angle_gamma 90.00
loop_
_symmetry_equiv_pos_as_xyz
'x,y,z'
loop_
_atom_site_label
_atom_site_fract_x
_atom_site_fract_y
_atom_site_fract_z
Cr1 0.000 0.000 0.000
Tc1 0.000 0.500 0.500
Tc2 0.500 0.000 0.500
Au1 0.500 0.500 0.000
Br1 0.000 0.000 0.500
```

=====

(12)
Density functional theory data (PBE-GGA) for an optimized crystal structure of Y4PPb.

Summary:
Energy ... -5.560 eV/atom
Calculated formation energy ... 269 meV/atom
Space group ... F-43m, No. 216
Spin magnetization ... 0.00 Bohr magnetons per cell

Structure (CIF):
```
data_Y4PPb
_chemical_formula_sum 'Y4 P1 Pb1'
_symmetry_space_group_name_H-M 'P 1'
_symmetry_Int_Tables_number 1
_cell_length_a 6.217
_cell_length_b 6.217
_cell_length_c 6.217
_cell_angle_alpha 60.00
_cell_angle_beta 60.00
_cell_angle_gamma 60.00
loop_
_symmetry_equiv_pos_as_xyz
'x,y,z'
loop_
_atom_site_label
_atom_site_fract_x
_atom_site_fract_y
_atom_site_fract_z
Y1 0.125 0.125 0.125
Y2 0.125 0.125 0.624
Y3 0.125 0.624 0.125
Y4 0.624 0.125 0.125
P1 0.750 0.750 0.750
Pb1 0.500 0.500 0.500
```

=====

> What is the spin magnetization in the eighth record?

0.00 Bohr magnetons per cell

=====

> Among the records above, which one has the highest energy?

AlZn9Ga2